1.
## BaZn2Rh (PBE)

Data for an optimized crystal structure of BaZn2Rh.

Energy of formation from the pure elements in eV/atom: -0.3389

Cell: 4.4303 4.4303 17.1394 Å, 90.00 90.00 120.00°
Space group R3m (No. 160, hexagonal axes)
Asymmetric unit:
Ba  0.0000  0.0000  0.0000
Zn  0.0000  0.0000  0.5163
Zn  0.0000  0.0000  0.8113
Rh  0.0000  0.0000  0.1902

***

2.
## CaGe3Te (PBE)

Data for an optimized crystal structure of CaGe3Te.

Formation energy (no corrections) in eV per atom: 0.944
Polymorph energy (0 for the lowest one) in eV/f.u.: 2.19

Cell: 5.4610 5.4610 5.4610 Å, 90.00 90.00 90.00°
Space group Pm-3m (No. 221)
Asymmetric unit:
Ca  0.0000  0.0000  0.0000
Ge  0.0000  0.0000  0.5000
Te  0.5000  0.5000  0.5000

***

3.
## GeSb2Pb2 (PBE)

Data for an optimized crystal structure of GeSb2Pb2.

Formation energy (no corrections) in eV per atom: 0.279
Polymorph energy (0 for the lowest one) in eV/f.u.: 0.37

Cell: 4.1531 4.1531 17.8801 Å, 90.00 90.00 90.00°
Space group I4/mmm (No. 139)
Asymmetric unit:
Ge  0.0000  0.0000  0.0000
Sb  0.0000  0.5000  0.2500
Pb  0.0000  0.0000  0.4087